First-principles (PBE) data for a geometry-optimized ReSb structure, as listed in Alexandria via LeMat-Bulk.

a = 7.3821 Å, b = 7.3821 Å, c = 7.3821 Å
α = 90.00°, β = 90.00°, γ = 90.00°
Fractional positions:
Re 0.0000 0.2500 0.5000
Re 0.0000 0.7500 0.5000
Re 0.2500 0.5000 0.0000
Re 0.5000 0.0000 0.2500
Re 0.5000 0.0000 0.7500
Re 0.7500 0.5000 0.0000
Sb 0.0000 0.5000 0.2500
Sb 0.0000 0.5000 0.7500
Sb 0.2500 0.0000 0.5000
Sb 0.5000 0.2500 0.0000
Sb 0.5000 0.7500 0.0000
Sb 0.7500 0.0000 0.5000

Results
Offset from the most stable computed form = 1327 meV/atom
Density = 7.63 g cm⁻³
Total magnetization = 0.677 μB/f.u.
Energy relative to the elements, uncorrected = 1.547 eV per atom